YHfNb2 PBE optimized geometry; polymorph energy (0 for the lowest one) = 0.414 eV/atom; calculated formation energy = 0.771 eV per atom; M_tot = 0.000 μB/atom
1.0
-3.869 3.869 3.013
3.869 -3.869 3.013
3.869 3.869 -3.013
Y Hf Nb
2 2 4
direct
0.000 0.000 0.000 Y
0.750 0.250 0.500 Y
0.250 0.750 0.500 Hf
0.500 0.500 0.000 Hf
0.137 0.625 0.012 Nb
0.375 0.387 0.512 Nb
0.613 0.125 0.988 Nb
0.875 0.863 0.488 Nb